Here is crystalline Np2UOs at its relaxed geometry from Alexandria. Energies are from GGA-PBE.

```
Np2UOs
1.0
3.514 0.000 0.000
1.757 3.043 0.000
1.757 1.014 7.951
Np Os U
2 1 1
Cartesian
5.271 3.043 2.464
1.757 1.014 5.487
0.000 0.000 0.000
3.514 2.029 3.976
```

Summary:
Symmetry: No. 166
E: -11.05 eV per atom
Total moment: 0.00 μB/cell
Calculated density: 17.62 Mg/m³
Calculated formation energy: 1051 meV/atom
Crystal system: trigonal